# 1
The following is a GGA-PBE calculation of a geometry-optimized TeSe3O structure, from the Alexandria database.

a b c (Å): 5.3360 5.3360 5.3360
angles (deg): 90.00 90.00 90.00
Fractional positions:
Se  0.0000  0.0000  0.5000
Se  0.5000  0.0000  0.0000
Se  0.0000  0.5000  0.0000
Te  0.0000  0.0000  0.0000
O  0.5000  0.5000  0.5000

Computed properties:
VASP energy (eV per atom): -2.44
Space group: Pm-3m, No. 221



# 2
The following is a GGA-PBE calculation of a geometry-optimized TeSe3O structure, from the Alexandria database.

a b c (Å): 6.6163 7.2705 7.9653
angles (deg): 112.17 105.41 101.72
Fractional positions:
Se  0.3821  0.7073  0.9029
Se  0.6179  0.2927  0.0971
Se  0.9322  0.1675  0.4596
Se  0.6436  0.3208  0.4014
Se  0.3564  0.6792  0.5986
Se  0.0678  0.8325  0.5404
Te  0.9067  0.6458  0.1456
Te  0.0933  0.3542  0.8544
O  0.1721  0.5680  0.1602
O  0.8279  0.4320  0.8398

Computed properties:
VASP energy (eV per atom): -3.91
Space group: P-1, No. 2



# 3
The following is a GGA-PBE calculation of a geometry-optimized TeSe2O2 structure, from the Alexandria database.

a b c (Å): 3.7852 3.7852 6.4699
angles (deg): 72.99 72.99 90.00
Fractional positions:
Se  0.3475  0.3475  0.3050
Se  0.6525  0.6525  0.6950
O  0.7500  0.2500  0.5000
O  0.2500  0.7500  0.5000
Te  0.0000  0.0000  0.0000

Computed properties:
VASP energy (eV per atom): -3.67
Space group: I4/mmm, No. 139



# 4
The following is a GGA-PBE calculation of a geometry-optimized TeSe3O structure, from the Alexandria database.

a b c (Å): 4.4446 8.6195 8.8172
angles (deg): 77.89 88.68 81.06
Fractional positions:
Te  0.1702  0.4555  0.1245
Te  0.5314  0.5746  0.7687
O  0.2547  0.4383  0.9089
O  0.7493  0.4975  0.0906
Se  0.2504  0.1404  0.2265
Se  0.0483  0.9878  0.7914
Se  0.1555  0.6896  0.5658
Se  0.4208  0.8071  0.9437
Se  0.2742  0.2100  0.6482
Se  0.5667  0.1392  0.4383

Computed properties:
VASP energy (eV per atom): -3.92
Space group: P1, No. 1



# 5
The following is a GGA-PBE calculation of a geometry-optimized TeSe2O2 structure, from the Alexandria database.

a b c (Å): 8.3179 8.3179 3.3914
angles (deg): 90.00 90.00 90.00
Fractional positions:
Se  0.2524  0.7524  0.0000
Se  0.7476  0.2476  0.0000
Se  0.7524  0.7476  0.0000
Se  0.2476  0.2524  0.0000
O  0.3223  0.1777  0.5000
O  0.6777  0.8223  0.5000
O  0.1777  0.6777  0.5000
O  0.8223  0.3223  0.5000
Te  0.5000  0.5000  0.0000
Te  0.0000  0.0000  0.0000

Computed properties:
VASP energy (eV per atom): -4.03
Space group: P4/mbm, No. 127



# 6
The following is a GGA-PBE calculation of a geometry-optimized TeSe3O structure, from the Alexandria database.

a b c (Å): 4.8437 5.7686 10.5185
angles (deg): 90.29 97.94 98.09
Fractional positions:
O  0.1540  0.3227  0.5108
O  0.3693  0.3632  0.2204
Se  0.2652  0.3880  0.8387
Se  0.1840  0.1037  0.2413
Se  0.9366  0.7901  0.6819
Se  0.2888  0.8531  0.0551
Se  0.5634  0.1505  0.9646
Se  0.4778  0.9223  0.4098
Te  0.8107  0.4827  0.4996
Te  0.3716  0.1303  0.6378

Computed properties:
VASP energy (eV per atom): -3.83
Space group: P1, No. 1



# 7
The following is a GGA-PBE calculation of a geometry-optimized TeSeO4 structure, from the Alexandria database.

a b c (Å): 6.9234 4.2190 6.8442
angles (deg): 90.00 90.00 90.00
Fractional positions:
Se  0.9787  0.9574  0.5000
Se  0.4787  0.0426  0.0000
O  0.4786  0.0487  0.3035
O  0.6644  0.3152  0.0000
O  0.7929  0.6849  0.5000
O  0.4786  0.0487  0.6965
O  0.9786  0.9513  0.8035
O  0.9786  0.9513  0.1965
O  0.2929  0.3151  0.0000
O  0.1644  0.6848  0.5000
Te  0.4787  0.7329  0.5000
Te  0.9787  0.2671  0.0000

Computed properties:
VASP energy (eV per atom): -5.21
Space group: Pmmn, No. 59



# 8
The following is a GGA-PBE calculation of a geometry-optimized TeSe2O structure, from the Alexandria database.

a b c (Å): 7.8819 7.8819 7.8819
angles (deg): 28.92 28.92 28.92
Fractional positions:
Se  0.9168  0.9168  0.9168
Se  0.0832  0.0832  0.0832
O  0.0000  0.0000  0.0000
Te  0.5000  0.5000  0.5000

Computed properties:
VASP energy (eV per atom): -3.66
Space group: R-3m, No. 166



# 9
The following is a GGA-PBE calculation of a geometry-optimized TeSeO structure, from the Alexandria database.

a b c (Å): 3.7677 8.4157 4.4109
angles (deg): 90.00 90.00 90.00
Fractional positions:
Te  0.0000  0.8460  0.2706
Te  0.5000  0.1540  0.7706
O  0.0000  0.9883  0.6141
O  0.5000  0.0117  0.1141
Se  0.5000  0.6618  0.5112
Se  0.0000  0.3382  0.0112

Computed properties:
VASP energy (eV per atom): -4.28
Space group: Pmn2_1, No. 31



# 10
The following is a GGA-PBE calculation of a geometry-optimized TeSe3O structure, from the Alexandria database.

a b c (Å): 4.3958 6.5512 10.4484
angles (deg): 101.40 96.95 94.83
Fractional positions:
Se  0.4711  0.7048  0.8539
Se  0.4991  0.0639  0.5317
Se  0.6310  0.1430  0.2071
Se  0.1257  0.8146  0.3999
Se  0.3433  0.3965  0.5040
Se  0.0737  0.5316  0.6822
O  0.5411  0.6272  0.1560
O  0.9715  0.4352  0.0216
Te  0.2260  0.8358  0.1517
Te  0.5389  0.4006  0.9985

Computed properties:
VASP energy (eV per atom): -3.93
Space group: P1, No. 1



# 11
The following is a GGA-PBE calculation of a geometry-optimized TeSeO structure, from the Alexandria database.

a b c (Å): 4.0470 4.0470 8.5258
angles (deg): 105.55 105.55 89.51
Fractional positions:
O  0.1291  0.3541  0.3530
O  0.3541  0.1291  0.8530
Te  0.2597  0.7799  0.6425
Te  0.7799  0.2597  0.1425
Se  0.0409  0.6831  0.0012
Se  0.6831  0.0409  0.5012

Computed properties:
VASP energy (eV per atom): -4.13
Space group: Cc, No. 9



# 12
The following is a GGA-PBE calculation of a geometry-optimized TeSeO2 structure, from the Alexandria database.

a b c (Å): 6.6534 6.6534 6.6534
angles (deg): 30.25 30.25 30.25
Fractional positions:
O  0.8825  0.8825  0.8825
O  0.1175  0.1175  0.1175
Se  0.5000  0.5000  0.5000
Te  0.0000  0.0000  0.0000

Computed properties:
VASP energy (eV per atom): -4.15
Space group: R-3m, No. 166



# 13
The following is a GGA-PBE calculation of a geometry-optimized TeSeO2 structure, from the Alexandria database.

a b c (Å): 6.5307 6.5307 6.5354
angles (deg): 60.02 60.02 90.00
Fractional positions:
O  0.3750  0.1303  0.7500
O  0.8803  0.6250  0.2500
O  0.8697  0.1250  0.2500
O  0.8750  0.1197  0.7500
Te  0.7500  0.2500  0.5000
Te  0.0000  0.0000  0.0000
Se  0.5000  0.5000  0.0000
Se  0.2500  0.7500  0.5000

Computed properties:
VASP energy (eV per atom): -4.11
Space group: I-42d, No. 122



# 14
The following is a GGA-PBE calculation of a geometry-optimized TeSe3O structure, from the Alexandria database.

a b c (Å): 4.5999 5.5631 11.4164
angles (deg): 88.00 89.86 87.94
Fractional positions:
Se  0.1291  0.2001  0.7662
Se  0.4522  0.0749  0.0405
Se  0.7447  0.7613  0.2956
Se  0.8436  0.9857  0.6250
Se  0.1507  0.3162  0.1629
Se  0.1488  0.8637  0.9184
O  0.3717  0.3871  0.4668
O  0.9018  0.4166  0.8126
Te  0.7744  0.4353  0.4858
Te  0.1215  0.0656  0.3663

Computed properties:
VASP energy (eV per atom): -3.84
Space group: P1, No. 1



# 15
The following is a GGA-PBE calculation of a geometry-optimized TeSeO structure, from the Alexandria database.

a b c (Å): 4.5295 3.7083 8.7140
angles (deg): 90.00 101.45 90.00
Fractional positions:
O  0.7836  0.7500  0.9906
O  0.2164  0.2500  0.0094
Se  0.7246  0.2500  0.6637
Se  0.2754  0.7500  0.3363
Te  0.0486  0.7500  0.8392
Te  0.9514  0.2500  0.1608

Computed properties:
VASP energy (eV per atom): -4.29
Space group: P2_1/m, No. 11



# 16
The following is a GGA-PBE calculation of a geometry-optimized Te3SeO structure, from the Alexandria database.

a b c (Å): 4.8486 4.8486 4.8486
angles (deg): 90.00 90.00 90.00
Fractional positions:
O  0.0000  0.0000  0.0000
Te  0.0000  0.5000  0.0000
Te  0.0000  0.0000  0.5000
Te  0.5000  0.0000  0.0000
Se  0.5000  0.5000  0.5000

Computed properties:
VASP energy (eV per atom): -3.18
Space group: Pm-3m, No. 221



# 17
The following is a GGA-PBE calculation of a geometry-optimized TeSe2O structure, from the Alexandria database.

a b c (Å): 5.2756 5.2756 7.6842
angles (deg): 69.92 69.92 90.00
Fractional positions:
Te  0.7500  0.2500  0.5000
Te  0.0000  0.0000  0.0000
Se  0.4618  0.1250  0.2500
Se  0.2882  0.6250  0.2500
Se  0.3750  0.5382  0.7500
Se  0.8750  0.7118  0.7500
O  0.2500  0.7500  0.5000
O  0.5000  0.5000  0.0000

Computed properties:
VASP energy (eV per atom): -3.44
Space group: I-42d, No. 122



# 18
The following is a GGA-PBE calculation of a geometry-optimized Te3SeO structure, from the Alexandria database.

a b c (Å): 5.3924 5.3924 5.3924
angles (deg): 90.00 90.00 90.00
Fractional positions:
Te  0.0000  0.0000  0.5000
Te  0.5000  0.0000  0.0000
Te  0.0000  0.5000  0.0000
Se  0.0000  0.0000  0.0000
O  0.5000  0.5000  0.5000

Computed properties:
VASP energy (eV per atom): -2.43
Space group: Pm-3m, No. 221



# 19
The following is a GGA-PBE calculation of a geometry-optimized TeSe2O structure, from the Alexandria database.

a b c (Å): 4.7114 4.7114 4.7114
angles (deg): 60.00 60.00 60.00
Fractional positions:
Se  0.2500  0.2500  0.2500
Se  0.7500  0.7500  0.7500
O  0.0000  0.0000  0.0000
Te  0.5000  0.5000  0.5000

Computed properties:
VASP energy (eV per atom): -3.15
Space group: Fm-3m, No. 225



# 20
The following is a GGA-PBE calculation of a geometry-optimized TeSe3O structure, from the Alexandria database.

a b c (Å): 5.1217 5.4253 6.2426
angles (deg): 71.56 66.26 63.02
Fractional positions:
Te  0.0953  0.2429  0.5721
Se  0.9895  0.9376  0.2015
Se  0.4523  0.0718  0.1626
Se  0.2614  0.7433  0.8439
O  0.7387  0.2550  0.5489

Computed properties:
VASP energy (eV per atom): -3.84
Space group: P1, No. 1



# 21
The following is a GGA-PBE calculation of a geometry-optimized TeSeO structure, from the Alexandria database.

a b c (Å): 5.7878 3.8074 6.5165
angles (deg): 90.00 95.93 90.00
Fractional positions:
O  0.3321  0.0000  0.3791
O  0.3321  0.5000  0.8791
Te  0.4955  0.5000  0.6366
Te  0.4955  0.0000  0.1366
Se  0.8044  0.5000  0.2709
Se  0.8044  0.0000  0.7709

Computed properties:
VASP energy (eV per atom): -4.19
Space group: Cm, No. 8



# 22
The following is a GGA-PBE calculation of a geometry-optimized TeSe3O structure, from the Alexandria database.

a b c (Å): 4.6102 4.6102 4.6102
angles (deg): 90.00 90.00 90.00
Fractional positions:
Se  0.5000  0.0000  0.0000
Se  0.0000  0.0000  0.5000
Se  0.0000  0.5000  0.0000
O  0.0000  0.0000  0.0000
Te  0.5000  0.5000  0.5000

Computed properties:
VASP energy (eV per atom): -3.22
Space group: Pm-3m, No. 221



# 23
The following is a GGA-PBE calculation of a geometry-optimized TeSe3O structure, from the Alexandria database.

a b c (Å): 4.1491 7.5723 4.5262
angles (deg): 90.00 113.59 90.00
Fractional positions:
Se  0.7725  0.2335  0.1852
Se  0.5681  0.0000  0.8028
Se  0.7725  0.7665  0.1852
Te  0.2132  0.5000  0.0801
O  0.0411  0.5000  0.6298

Computed properties:
VASP energy (eV per atom): -3.86
Space group: Pm, No. 6



# 24
The following is a GGA-PBE calculation of a geometry-optimized TeSe3O9 structure, from the Alexandria database.

a b c (Å): 9.2946 7.8232 9.2153
angles (deg): 73.60 59.71 53.56
Fractional positions:
O  0.4764  0.1607  0.3318
O  0.2334  0.0686  0.7246
O  0.0311  0.6607  0.8318
O  0.4783  0.4549  0.7687
O  0.4484  0.2508  0.6114
O  0.2612  0.2727  0.9638
O  0.2895  0.5721  0.1947
O  0.9796  0.9663  0.9891
O  0.6827  0.8237  0.5941
O  0.0650  0.4663  0.4891
O  0.8994  0.3237  0.0941
O  0.9438  0.0721  0.6947
O  0.9734  0.5686  0.2246
O  0.7911  0.5161  0.8025
O  0.5023  0.7727  0.4638
O  0.6894  0.7508  0.1114
O  0.2980  0.9549  0.2687
O  0.8903  0.0161  0.3025
Se  0.4963  0.2295  0.7875
Se  0.2263  0.3996  0.2613
Se  0.4868  0.7295  0.2875
Se  0.8116  0.5194  0.6170
Se  0.0519  0.0194  0.1170
Se  0.1129  0.8996  0.7613
Te  0.4689  0.0232  0.5313
Te  0.9766  0.5232  0.0313

Computed properties:
VASP energy (eV per atom): -5.12
Space group: Cc, No. 9



# 25
The following is a GGA-PBE calculation of a geometry-optimized TeSeO2 structure, from the Alexandria database.

a b c (Å): 4.2748 4.2748 4.2748
angles (deg): 60.00 60.00 60.00
Fractional positions:
O  0.7500  0.7500  0.7500
O  0.2500  0.2500  0.2500
Te  0.5000  0.5000  0.5000
Se  0.0000  0.0000  0.0000

Computed properties:
VASP energy (eV per atom): -3.67
Space group: Fm-3m, No. 225